P:
Compound: Hg2OsPd
Source: Alexandria via LeMat-Bulk
Functional: PBE-GGA
Structure: relaxed

Unit cell a=4.6496 b=4.6496 c=4.6496 alpha=60.00 beta=60.00 gamma=60.00
Last column: nearest neighbours and their distance in Å.
Element x y z (fractional)
1 Hg 0.7500 0.7500 0.7500  4 Os 2.85, 4 Pd 2.85
2 Hg 0.2500 0.2500 0.2500  4 Os 2.85, 4 Pd 2.85
3 Pd 0.0000 0.0000 0.0000  8 Hg 2.85
4 Os 0.5000 0.5000 0.5000  8 Hg 2.85

density: 16.30 g/cm³
symmetry: Fm-3m (225)
N(E_F): 4.96 states/eV per cell



Q:
Compound: Hg2OsPd
Source: Alexandria via LeMat-Bulk
Functional: PBE-GGA
Structure: relaxed

Unit cell a=4.0360 b=4.0360 c=10.1356 alpha=78.52 beta=78.52 gamma=90.00
Last column: nearest neighbours and their distance in Å.
Element x y z (fractional)
1 Hg 0.8750 0.8781 0.7500  2 Os 2.81, 2 Pd 2.82, 4 Hg 2.84-2.87
2 Hg 0.6281 0.1250 0.2500  2 Os 2.81, 2 Pd 2.82, 4 Hg 2.84-2.87
3 Hg 0.3750 0.3719 0.7500  2 Os 2.81, 2 Pd 2.82, 4 Hg 2.84-2.87
4 Hg 0.1219 0.6250 0.2500  2 Os 2.81, 2 Pd 2.82, 4 Hg 2.84-2.87
5 Pd 0.2500 0.7500 0.5000  4 Hg 2.82, 4 Os 2.85
6 Pd 0.5000 0.5000 0.0000  4 Hg 2.82, 4 Os 2.85
7 Os 0.7500 0.2500 0.5000  4 Hg 2.81, 4 Pd 2.85
8 Os 0.0000 0.0000 0.0000  4 Hg 2.81, 4 Pd 2.85

density: 14.63 g/cm³
symmetry: I-42d (122)
N(E_F): 8.14 states/eV per cell



Result of the stability comparison: Q is the least stable of them.



P:
Compound: Pm2HgOs
Source: Alexandria via LeMat-Bulk
Functional: PBE-GGA
Structure: relaxed

Unit cell a=3.5247 b=3.5247 c=7.9384 alpha=90.00 beta=90.00 gamma=90.00
Last column: nearest neighbours and their distance in Å.
Element x y z (fractional)
1 Os 0.5000 0.5000 0.0000  8 Pm 3.03
2 Pm 0.0000 0.0000 0.2167  4 Os 3.03, 4 Hg 3.36
3 Pm 0.0000 0.0000 0.7833  4 Os 3.03, 4 Hg 3.36
4 Hg 0.5000 0.5000 0.5000  8 Pm 3.36, 4 Hg 3.52

density: 11.46 g/cm³
symmetry: P4/mmm (123)
N(E_F): 3.42 states/eV per cell



Q:
Compound: Pm2HgOs
Source: Alexandria via LeMat-Bulk
Functional: PBE-GGA
Structure: relaxed

Unit cell a=5.1449 b=5.1449 c=5.1449 alpha=60.00 beta=60.00 gamma=60.00
Last column: nearest neighbours and their distance in Å.
Element x y z (fractional)
1 Pm 0.2500 0.2500 0.2500  4 Os 3.15, 4 Hg 3.15
2 Pm 0.7500 0.7500 0.7500  4 Os 3.15, 4 Hg 3.15
3 Os 0.5000 0.5000 0.5000  8 Pm 3.15
4 Hg 0.0000 0.0000 0.0000  8 Pm 3.15

density: 11.74 g/cm³
symmetry: Fm-3m (225)
N(E_F): 2.68 states/eV per cell



Result of the stability comparison: Q is the least stable of them.



P:
Compound: PmThHgOs
Source: Alexandria via LeMat-Bulk
Functional: PBE-GGA
Structure: relaxed

Unit cell a=5.1862 b=5.1862 c=5.1862 alpha=60.00 beta=60.00 gamma=60.00
Last column: nearest neighbours and their distance in Å.
Element x y z (fractional)
1 Pm 0.2500 0.2500 0.2500  4 Os 3.18, 4 Hg 3.18
2 Hg 0.0000 0.0000 0.0000  4 Pm 3.18, 4 Th 3.18
3 Th 0.7500 0.7500 0.7500  4 Os 3.18, 4 Hg 3.18
4 Os 0.5000 0.5000 0.5000  4 Th 3.18, 4 Pm 3.18

density: 12.93 g/cm³
symmetry: F-43m (216)
N(E_F): 2.60 states/eV per cell



Q:
Compound: PmThHgOs
Source: Alexandria via LeMat-Bulk
Functional: PBE-GGA
Structure: relaxed

Unit cell a=4.1921 b=4.1923 c=7.9297 alpha=90.00 beta=105.36 gamma=119.99
Last column: nearest neighbours and their distance in Å.
Element x y z (fractional)
1 Hg 0.9718 0.3841 0.3706  3 Pm 3.29-3.30, 3 Th 3.38
2 Th 0.0977 0.9467 0.0585  3 Os 2.79-2.80
3 Os 0.3065 0.5511 0.8736  3 Th 2.79-2.80, 3 Pm 2.88
4 Pm 0.5019 0.1489 0.6670  3 Os 2.88

density: 11.10 g/cm³
symmetry: R3m (160)
N(E_F): 3.08 states/eV per cell



Result of the stability comparison: P is the least stable of them.